Record 1
A plane-wave DFT calculation with GGA-PBEsol was carried out for an optimized crystal structure of LiMoS2.

Unit cell a=6.1948 b=6.5760 c=6.6972 alpha=61.16 beta=89.88 gamma=89.74
Last column: nearest neighbours and their distance in Å.
Element x y z (fractional)
Li (0.0100, 0.4789, 0.2935)  6 S 2.50-2.61
Li (0.0214, 0.9909, 0.2595)  6 S 2.50-2.61
Li (0.9786, 0.0091, 0.7405)  6 S 2.50-2.61
Li (0.9900, 0.5211, 0.7065)  6 S 2.50-2.61
Mo (0.4954, 0.9431, 0.8086)  6 S 2.35-2.57
Mo (0.4995, 0.5086, 0.7895)  6 S 2.37-2.54
Mo (0.5005, 0.4914, 0.2105)  6 S 2.37-2.54
Mo (0.5046, 0.0569, 0.1914)  6 S 2.35-2.57
S (0.2250, 0.6552, 0.9322)  3 Mo 2.36-2.37, 3 Li 2.50-2.55
S (0.2522, 0.1837, 0.8938)  3 Mo 2.35-2.45, 3 Li 2.53-2.58
S (0.2824, 0.1510, 0.4328)  3 Mo 2.42-2.57, 3 Li 2.50-2.61
S (0.3032, 0.6785, 0.4091)  3 Li 2.50-2.61, 3 Mo 2.52-2.54
S (0.6968, 0.3215, 0.5909)  3 Li 2.50-2.61, 3 Mo 2.52-2.54
S (0.7176, 0.8490, 0.5672)  3 Mo 2.42-2.57, 3 Li 2.50-2.61
S (0.7478, 0.8163, 0.1062)  3 Mo 2.35-2.45, 3 Li 2.53-2.58
S (0.7750, 0.3448, 0.0678)  3 Mo 2.36-2.37, 3 Li 2.50-2.55

Calculated values
The calculation puts the raw formation energy at -4.29 eV per formula unit. The value obtained for the polymorph energy (0 for the lowest one) is 0.000 eV per atom. The calculation puts the total DFT energy (no corrections) at -6.70 eV per atom. The value obtained for the total magnetization is 0.0 μB per cell. The density comes out at 4642 kg/m3.



Record 2
A plane-wave DFT calculation with GGA-PBEsol was carried out for an optimized crystal structure of Li2Mo2S.

Unit cell a=7.7872 b=7.7872 c=7.7872 alpha=157.51 beta=157.51 gamma=32.02
Last column: nearest neighbours and their distance in Å.
Element x y z (fractional)
Li (0.2500, 0.7500, 0.5000)  4 Li 2.15
Li (0.7500, 0.2500, 0.5000)  4 Li 2.15
Mo (0.0874, 0.0874, 0.0000)  4 S 2.51, 1 Mo 2.62
Mo (0.9126, 0.9126, 0.0000)  4 S 2.51, 1 Mo 2.62
S (0.5000, 0.5000, 0.0000)  8 Mo 2.51

Calculated values
The calculation puts the raw formation energy at 2.50 eV per formula unit. The calculation puts the total DFT energy (no corrections) at -5.87 eV per atom. The value obtained for the total magnetization is 0.0 μB per cell. The density comes out at 5720 kg/m3.



Record 3
A plane-wave DFT calculation with GGA-PBEsol was carried out for an optimized crystal structure of LiMoS2.

Unit cell a=4.2114 b=4.2114 c=4.2114 alpha=60.00 beta=60.00 gamma=60.00
Last column: nearest neighbours and their distance in Å.
Element x y z (fractional)
Li (0.0000, 0.0000, 0.0000)  8 S 2.58
Mo (0.5000, 0.5000, 0.5000)  8 S 2.58
S (0.2500, 0.2500, 0.2500)  4 Mo 2.58, 4 Li 2.58
S (0.7500, 0.7500, 0.7500)  4 Li 2.58, 4 Mo 2.58

Calculated values
The calculation puts the raw formation energy at -2.12 eV per formula unit. The value obtained for the polymorph energy (0 for the lowest one) is 0.542 eV per atom. The calculation puts the total DFT energy (no corrections) at -6.16 eV per atom. The value obtained for the total magnetization is 0.6 μB per cell. The density comes out at 5251 kg/m3.



Record 4
A plane-wave DFT calculation with GGA-PBEsol was carried out for an optimized crystal structure of Li3Mo6S8.

Unit cell a=6.5405 b=6.5889 c=13.0654 alpha=91.96 beta=94.38 gamma=96.28
Last column: nearest neighbours and their distance in Å.
Element x y z (fractional)
Li (0.0000, 0.0000, 0.0000)  4 S 2.37-2.42
Li (0.0064, 0.6218, 0.7892)  4 S 2.35-2.55
Li (0.0858, 0.5118, 0.0303)  4 S 2.45-2.55
Li (0.3093, 0.5707, 0.5367)  4 S 2.40-2.49
Li (0.8446, 0.7267, 0.5180)  3 S 2.41-2.57
Li (0.9700, 0.6250, 0.2670)  2 S 2.34-2.37
Mo (0.2093, 0.0335, 0.2919)  5 S 2.40-2.53, 2 Mo 2.64-2.65
Mo (0.2090, 0.0402, 0.7909)  5 S 2.43-2.53, 4 Mo 2.64-2.68
Mo (0.3915, 0.1790, 0.6301)  5 S 2.41-2.51, 3 Mo 2.64-2.66
Mo (0.3952, 0.1760, 0.1322)  5 S 2.43-2.55, 4 Mo 2.63-2.69
Mo (0.4374, 0.4007, 0.3103)  5 S 2.43-2.58, 4 Mo 2.66-2.69
Mo (0.4393, 0.4048, 0.8091)  5 S 2.42-2.60, 4 Mo 2.67-2.71
Mo (0.5215, 0.8596, 0.7236)  5 S 2.41-2.60, 4 Mo 2.66-2.69
Mo (0.5274, 0.8527, 0.2249)  5 S 2.40-2.57, 2 Mo 2.68
Mo (0.5690, 0.0805, 0.4037)  5 S 2.42-2.51, 4 Mo 2.63-2.71
Mo (0.5698, 0.0830, 0.9019)  5 S 2.43-2.55, 4 Mo 2.64-2.69
Mo (0.7517, 0.2199, 0.2435)  5 S 2.43-2.54, 4 Mo 2.63-2.68
Mo (0.7536, 0.2246, 0.7413)  5 S 2.40-2.53, 3 Mo 2.64-2.68
S (0.1164, 0.3390, 0.2015)  2 Li 2.37-2.55, 4 Mo 2.43-2.54
S (0.1177, 0.3442, 0.6995)  1 Li 2.35, 4 Mo 2.41-2.53
S (0.1825, 0.8485, 0.6274)  2 Li 2.40-2.57, 3 Mo 2.43-2.46
S (0.1924, 0.8353, 0.1295)  2 Li 2.39-2.46, 3 Mo 2.43-2.48
S (0.2615, 0.2392, 0.4490)  4 Mo 2.40-2.51, 1 Li 2.41
S (0.2682, 0.2505, 0.9496)  4 Mo 2.42-2.55, 2 Li 2.42-2.45
S (0.3531, 0.7519, 0.3785)  1 Li 2.44, 4 Mo 2.44-2.58
S (0.3525, 0.7562, 0.8797)  4 Mo 2.44-2.60, 1 Li 2.53
S (0.6099, 0.5033, 0.1566)  4 Mo 2.44-2.57, 1 Li 2.69
S (0.6117, 0.5087, 0.6540)  4 Mo 2.46-2.60, 1 Li 2.49
S (0.6941, 0.0096, 0.0855)  1 Li 2.37, 4 Mo 2.40-2.55
S (0.6973, 0.0188, 0.5848)  4 Mo 2.40-2.51, 1 Li 2.41
S (0.7712, 0.4147, 0.4070)  3 Mo 2.43-2.44, 2 Li 2.46-2.66
S (0.7741, 0.4184, 0.9059)  3 Mo 2.43-2.45, 2 Li 2.52-2.55
S (0.8429, 0.9177, 0.8291)  2 Li 2.38-2.40, 4 Mo 2.41-2.53
S (0.8458, 0.9158, 0.3352)  1 Li 2.34, 4 Mo 2.42-2.53

Calculated values
The calculation puts the raw formation energy at -16.24 eV per formula unit. The calculation puts the total DFT energy (no corrections) at -7.52 eV per atom. The value obtained for the total magnetization is 0.0 μB per cell. The density comes out at 5081 kg/m3.



Record 5
A plane-wave DFT calculation with GGA-PBEsol was carried out for an optimized crystal structure of LiMo6Se2S6.

Unit cell a=6.4514 b=6.4514 c=6.4514 alpha=90.70 beta=90.70 gamma=90.70
Last column: nearest neighbours and their distance in Å.
Element x y z (fractional)
Li (0.0000, 0.0000, 0.0000)  2 Se 2.39
Mo (0.2162, 0.4104, 0.5570)  4 S 2.41-2.45, 1 Se 2.51
Mo (0.4104, 0.5570, 0.2162)  4 S 2.41-2.45, 1 Se 2.51
Mo (0.4430, 0.7838, 0.5896)  4 S 2.41-2.45, 1 Se 2.51
Mo (0.5570, 0.2162, 0.4104)  4 S 2.41-2.45, 1 Se 2.51
Mo (0.5896, 0.4430, 0.7838)  4 S 2.41-2.45, 1 Se 2.51
Mo (0.7838, 0.5896, 0.4430)  4 S 2.41-2.45, 1 Se 2.51
Se (0.2167, 0.2167, 0.2167)  1 Li 2.39, 3 Mo 2.51
Se (0.7833, 0.7833, 0.7833)  1 Li 2.39, 3 Mo 2.51
S (0.1308, 0.7347, 0.3850)  4 Mo 2.41-2.45
S (0.2653, 0.6150, 0.8692)  4 Mo 2.41-2.45
S (0.3850, 0.1308, 0.7347)  4 Mo 2.41-2.45
S (0.6150, 0.8692, 0.2653)  4 Mo 2.41-2.45
S (0.7347, 0.3850, 0.1308)  4 Mo 2.41-2.45
S (0.8692, 0.2653, 0.6150)  4 Mo 2.41-2.45

Calculated values
The calculation puts the raw formation energy at -11.77 eV per formula unit. The calculation puts the total DFT energy (no corrections) at -7.89 eV per atom. The value obtained for the total magnetization is 0.0 μB per cell. The density comes out at 5771 kg/m3.



Record 6
A plane-wave DFT calculation with GGA-PBEsol was carried out for an optimized crystal structure of LiSb2Mo.

Unit cell a=3.6869 b=3.6869 c=5.5079 alpha=90.00 beta=90.00 gamma=90.00
Last column: nearest neighbours and their distance in Å.
Element x y z (fractional)
Li (0.0000, 0.0000, 0.0000)  6 Sb 2.64-2.87
Sb (0.0000, 0.0000, 0.4786)  2 Li 2.64-2.87, 4 Mo 2.80
Sb (0.5000, 0.5000, 0.8128)  2 Mo 2.65-2.85, 4 Li 2.80
Mo (0.5000, 0.5000, 0.2946)  6 Sb 2.65-2.85

Calculated values
The calculation puts the raw formation energy at 0.26 eV per formula unit. The value obtained for the polymorph energy (0 for the lowest one) is 0.056 eV per atom. The calculation puts the total DFT energy (no corrections) at -5.65 eV per atom. The value obtained for the total magnetization is 0.0 μB per cell. The density comes out at 7683 kg/m3.



Record 7
A plane-wave DFT calculation with GGA-PBEsol was carried out for an optimized crystal structure of LiSb2Mo.

Unit cell a=4.3755 b=5.3380 c=5.3380 alpha=36.81 beta=90.00 gamma=90.00
Last column: nearest neighbours and their distance in Å.
Element x y z (fractional)
Li (0.0000, 0.0000, 0.0000)  7 Sb 2.69-2.91, 2 Mo 2.73
Sb (0.0000, 0.7347, 0.7347)  3 Li 2.69-2.91, 4 Mo 2.86
Sb (0.5000, 0.4487, 0.4487)  3 Mo 2.74-2.91, 4 Li 2.81
Mo (0.5000, 0.1614, 0.1614)  2 Li 2.73, 7 Sb 2.74-2.91

Calculated values
The calculation puts the raw formation energy at 0.03 eV per formula unit. The value obtained for the polymorph energy (0 for the lowest one) is 0.000 eV per atom. The calculation puts the total DFT energy (no corrections) at -5.70 eV per atom. The value obtained for the total magnetization is 0.0 μB per cell. The density comes out at 7701 kg/m3.



Record 8
A plane-wave DFT calculation with GGA-PBEsol was carried out for an optimized crystal structure of Sr2LiSbMo.

Unit cell a=6.2413 b=6.2413 c=5.1068 alpha=90.00 beta=90.00 gamma=90.00
Last column: nearest neighbours and their distance in Å.
Element x y z (fractional)
Sr (0.0000, 0.5000, 0.0000)  2 Sb 3.12
Sr (0.5000, 0.0000, 0.0000)  2 Sb 3.12
Li (0.0000, 0.0000, 0.5000)  8 Sr 4.03, 4 Mo 4.41
Sb (0.5000, 0.5000, 0.0000)  2 Mo 2.55
Mo (0.5000, 0.5000, 0.5000)  2 Sb 2.55

Calculated values
The calculation puts the raw formation energy at 2.72 eV per formula unit. The calculation puts the total DFT energy (no corrections) at -3.85 eV per atom. The value obtained for the total magnetization is 2.9 μB per cell. The density comes out at 3338 kg/m3.



Record 9
A plane-wave DFT calculation with GGA-PBEsol was carried out for an optimized crystal structure of LiScMo.

Unit cell a=7.4007 b=7.4007 c=7.4007 alpha=158.79 beta=158.79 gamma=30.17
Last column: nearest neighbours and their distance in Å.
Element x y z (fractional)
Li (0.0000, 0.0000, 0.0000)  4 Li 2.72, 4 Mo 2.97
Sc (0.3112, 0.3112, 0.0000)  4 Sc 2.72, 4 Mo 2.91
Mo (0.6586, 0.6586, 0.0000)  4 Mo 2.72, 4 Sc 2.91, 4 Li 2.97

Calculated values
The value obtained for the polymorph energy (0 for the lowest one) is 0.005 eV per atom. The calculation puts the total DFT energy (no corrections) at -6.45 eV per atom. The value obtained for the total magnetization is 0.0 μB per cell. Its formation energy is 0.3337 eV per atom. The density comes out at 4630 kg/m3.



Record 10
A plane-wave DFT calculation with GGA-PBEsol was carried out for an optimized crystal structure of LiSc2Mo.

Unit cell a=5.2901 b=5.2901 c=5.0112 alpha=103.53 beta=103.53 gamma=32.93
Last column: nearest neighbours and their distance in Å.
Element x y z (fractional)
Li (0.0000, 0.0000, 0.0000)  7 Sc 2.81-3.03, 2 Mo 2.81, 2 Li 3.00
Sc (0.2448, 0.2448, 0.8336)  3 Li 2.81-2.93, 4 Mo 2.91-2.96, 2 Sc 3.00
Sc (0.4587, 0.4587, 0.4613)  3 Mo 2.83-2.85, 4 Li 2.87-3.03, 2 Sc 3.00
Mo (0.7147, 0.7147, 0.3241)  2 Li 2.81, 7 Sc 2.83-2.96, 2 Mo 3.00

Calculated values
The calculation puts the total DFT energy (no corrections) at -6.49 eV per atom. The value obtained for the total magnetization is 0.0 μB per cell. Its formation energy is 0.2491 eV per atom. The density comes out at 4330 kg/m3.



Q: What is the total DFT energy (no corrections) in the sixth record?
A: -5.65 eV per atom



What did the first record say?
A plane-wave DFT calculation with GGA-PBEsol was carried out for an optimized crystal structure of LiMoS2.

Unit cell a=6.1948 b=6.5760 c=6.6972 alpha=61.16 beta=89.88 gamma=89.74
Last column: nearest neighbours and their distance in Å.
Element x y z (fractional)
Li (0.0100, 0.4789, 0.2935)  6 S 2.50-2.61
Li (0.0214, 0.9909, 0.2595)  6 S 2.50-2.61
Li (0.9786, 0.0091, 0.7405)  6 S 2.50-2.61
Li (0.9900, 0.5211, 0.7065)  6 S 2.50-2.61
Mo (0.4954, 0.9431, 0.8086)  6 S 2.35-2.57
Mo (0.4995, 0.5086, 0.7895)  6 S 2.37-2.54
Mo (0.5005, 0.4914, 0.2105)  6 S 2.37-2.54
Mo (0.5046, 0.0569, 0.1914)  6 S 2.35-2.57
S (0.2250, 0.6552, 0.9322)  3 Mo 2.36-2.37, 3 Li 2.50-2.55
S (0.2522, 0.1837, 0.8938)  3 Mo 2.35-2.45, 3 Li 2.53-2.58
S (0.2824, 0.1510, 0.4328)  3 Mo 2.42-2.57, 3 Li 2.50-2.61
S (0.3032, 0.6785, 0.4091)  3 Li 2.50-2.61, 3 Mo 2.52-2.54
S (0.6968, 0.3215, 0.5909)  3 Li 2.50-2.61, 3 Mo 2.52-2.54
S (0.7176, 0.8490, 0.5672)  3 Mo 2.42-2.57, 3 Li 2.50-2.61
S (0.7478, 0.8163, 0.1062)  3 Mo 2.35-2.45, 3 Li 2.53-2.58
S (0.7750, 0.3448, 0.0678)  3 Mo 2.36-2.37, 3 Li 2.50-2.55

Calculated values
The calculation puts the raw formation energy at -4.29 eV per formula unit. The value obtained for the polymorph energy (0 for the lowest one) is 0.000 eV per atom. The calculation puts the total DFT energy (no corrections) at -6.70 eV per atom. The value obtained for the total magnetization is 0.0 μB per cell. The density comes out at 4642 kg/m3.